1.
A relaxed DyAlPb2 crystal. Source: OQMD via LeMat-Bulk, functional PBE.

a = 9.885 Å, b = 9.885 Å, c = 6.250 Å
α = 96.28°, β = 96.28°, γ = 20.78°
Element x y z (fractional)
Pb 0.136 0.136 0.378
Pb 0.364 0.364 0.120
Pb 0.636 0.636 0.880
Pb 0.864 0.864 0.622
Al 0.750 0.750 0.251
Al 0.250 0.250 0.749
Dy 0.500 0.500 0.500
Dy 0.000 0.000 0.000

Space group: C2/m
E_tot (eV per atom): -3.94

***

2.
A relaxed DyAlPbS3 crystal. Source: OQMD via LeMat-Bulk, functional PBE.

a = 7.511 Å, b = 7.511 Å, c = 10.608 Å
α = 90.00°, β = 90.00°, γ = 150.51°
Element x y z (fractional)
S 0.867 0.133 0.986
S 0.528 0.472 0.250
S 0.133 0.867 0.014
S 0.867 0.133 0.514
S 0.133 0.867 0.486
S 0.472 0.528 0.750
Al 0.130 0.870 0.250
Al 0.870 0.130 0.750
Pb 0.801 0.199 0.250
Pb 0.199 0.801 0.750
Dy 0.500 0.500 0.000
Dy 0.500 0.500 0.500

Space group: Cmcm
E_tot (eV per atom): -5.14